Entry 1:
First-principles (PBE-GGA) data for crystalline PmGd2Mg at its relaxed geometry, as listed in the Alexandria database.

abc: 3.630 3.630 9.355
angles: 90.00 90.00 90.00
Element x y z (fractional)
Pm: 0.000 0.000 0.000
Gd: 0.500 0.500 0.269
Gd: 0.500 0.500 0.731
Mg: 0.000 0.000 0.500



Entry 2:
First-principles (PBE-GGA) data for crystalline PmGd2Mg at its relaxed geometry, as listed in the Alexandria database.

abc: 3.485 3.485 37.115
angles: 90.00 90.00 120.00
Element x y z (fractional)
Pm: 0.000 0.000 0.000
Pm: 0.333 0.667 0.667
Pm: 0.667 0.333 0.333
Gd: 0.000 0.000 0.412
Gd: 0.000 0.000 0.588
Gd: 0.333 0.667 0.078
Gd: 0.333 0.667 0.255
Gd: 0.667 0.333 0.745
Gd: 0.667 0.333 0.922
Mg: 0.000 0.000 0.500
Mg: 0.333 0.667 0.167
Mg: 0.667 0.333 0.833



Entry 3:
First-principles (PBE-GGA) data for crystalline PmGdMg at its relaxed geometry, as listed in the Alexandria database.

abc: 3.738 3.738 12.996
angles: 90.00 90.00 90.00
Element x y z (fractional)
Pm: 0.000 0.000 0.000
Pm: 0.500 0.500 0.500
Gd: 0.000 0.000 0.317
Gd: 0.500 0.500 0.817
Mg: 0.000 0.000 0.660
Mg: 0.500 0.500 0.160



Entry 4:
First-principles (PBE-GGA) data for crystalline PmGdMg at its relaxed geometry, as listed in the Alexandria database.

abc: 5.508 5.508 3.432
angles: 90.00 90.00 120.00
Element x y z (fractional)
Pm: 0.000 0.000 0.000
Gd: 0.333 0.667 0.579
Mg: 0.667 0.333 0.306



Entry 5:
First-principles (PBE-GGA) data for crystalline PmGdMg4 at its relaxed geometry, as listed in the Alexandria database.

abc: 6.087 6.087 6.087
angles: 60.00 60.00 60.00
Element x y z (fractional)
Pm: 0.000 0.000 0.000
Gd: 0.750 0.750 0.750
Mg: 0.375 0.375 0.375
Mg: 0.375 0.375 0.876
Mg: 0.375 0.876 0.375
Mg: 0.876 0.375 0.375



Entry 6:
First-principles (PBE-GGA) data for crystalline PmGdPuMg at its relaxed geometry, as listed in the Alexandria database.

abc: 7.786 7.786 7.786
angles: 90.00 90.00 90.00
Element x y z (fractional)
Pm: 0.000 0.000 0.000
Pm: 0.000 0.500 0.500
Pm: 0.500 0.000 0.500
Pm: 0.500 0.500 0.000
Gd: 0.000 0.000 0.500
Gd: 0.000 0.500 0.000
Gd: 0.500 0.000 0.000
Gd: 0.500 0.500 0.500
Pu: 0.250 0.250 0.250
Pu: 0.250 0.750 0.750
Pu: 0.750 0.250 0.750
Pu: 0.750 0.750 0.250
Mg: 0.250 0.250 0.750
Mg: 0.250 0.750 0.250
Mg: 0.750 0.250 0.250
Mg: 0.750 0.750 0.750



Entry 7:
First-principles (PBE-GGA) data for crystalline PmGdMgRh at its relaxed geometry, as listed in the Alexandria database.

abc: 7.273 7.273 7.273
angles: 90.00 90.00 90.00
Element x y z (fractional)
Pm: 0.000 0.000 0.000
Pm: 0.000 0.500 0.500
Pm: 0.500 0.000 0.500
Pm: 0.500 0.500 0.000
Gd: 0.000 0.000 0.500
Gd: 0.000 0.500 0.000
Gd: 0.500 0.000 0.000
Gd: 0.500 0.500 0.500
Mg: 0.250 0.250 0.750
Mg: 0.250 0.750 0.250
Mg: 0.750 0.250 0.250
Mg: 0.750 0.750 0.750
Rh: 0.250 0.250 0.250
Rh: 0.250 0.750 0.750
Rh: 0.750 0.250 0.750
Rh: 0.750 0.750 0.250



Entry 8:
First-principles (PBE-GGA) data for crystalline PmGdMgRu at its relaxed geometry, as listed in the Alexandria database.

abc: 7.223 7.223 7.223
angles: 90.00 90.00 90.00
Element x y z (fractional)
Pm: 0.000 0.000 0.000
Pm: 0.000 0.500 0.500
Pm: 0.500 0.000 0.500
Pm: 0.500 0.500 0.000
Gd: 0.000 0.000 0.500
Gd: 0.000 0.500 0.000
Gd: 0.500 0.000 0.000
Gd: 0.500 0.500 0.500
Mg: 0.250 0.250 0.750
Mg: 0.250 0.750 0.250
Mg: 0.750 0.250 0.250
Mg: 0.750 0.750 0.750
Ru: 0.250 0.250 0.250
Ru: 0.250 0.750 0.750
Ru: 0.750 0.250 0.750
Ru: 0.750 0.750 0.250



Calculated ΔH_f (0 K) in order - -14 78 -18 8 -57 55 -134 -48 kJ/mol of formula units